VASP calculation (GGA-PBE) on a relaxed structure of ZnFe2Sb.

Calculated values
Total DFT energy (no corrections) ... -5.2246 eV/atom
Polymorph energy (0 for the lowest one) ... 0 meV per atom

abc: 6.144 6.144 6.144
angles: 90.00 90.00 90.00
Sites, in units of the cell vectors:
Zn 0.000 0.000 0.000
Zn 0.000 0.000 0.500
Zn 0.000 0.500 0.000
Zn 0.500 0.000 0.000
Fe 0.238 0.238 0.238
Fe 0.238 0.238 0.762
Fe 0.238 0.762 0.238
Fe 0.238 0.762 0.762
Fe 0.762 0.238 0.238
Fe 0.762 0.238 0.762
Fe 0.762 0.762 0.238
Fe 0.762 0.762 0.762
Sb 0.000 0.500 0.500
Sb 0.500 0.000 0.500
Sb 0.500 0.500 0.000
Sb 0.500 0.500 0.500


VASP calculation (GGA-PBE) on a relaxed structure of HfZrCuBi.

Calculated values
Total DFT energy (no corrections) ... -6.1652 eV/atom
Polymorph energy (0 for the lowest one) ... 342 meV per atom

abc: 4.966 4.966 4.966
angles: 60.00 60.00 60.00
Sites, in units of the cell vectors:
Hf 0.000 0.000 0.000
Zr 0.250 0.250 0.250
Cu 0.750 0.750 0.750
Bi 0.500 0.500 0.500


VASP calculation (GGA-PBE) on a relaxed structure of Ho2ErFe2Co6Ni.

Calculated values
Total DFT energy (no corrections) ... -6.7346 eV/atom

abc: 8.531 8.531 8.531
angles: 33.82 33.82 33.82
Sites, in units of the cell vectors:
Ho 0.140 0.140 0.140
Ho 0.860 0.860 0.860
Er 0.000 0.000 0.000
Fe 0.334 0.334 0.334
Fe 0.666 0.666 0.666
Co 0.080 0.582 0.582
Co 0.418 0.418 0.920
Co 0.418 0.920 0.418
Co 0.582 0.080 0.582
Co 0.582 0.582 0.080
Co 0.920 0.418 0.418
Ni 0.500 0.500 0.500


VASP calculation (GGA-PBE) on a relaxed structure of CsMg2Hg2As3.

Calculated values
Total DFT energy (no corrections) ... -2.6731 eV/atom

abc: 4.515 4.515 10.912
angles: 90.00 90.00 90.00
Sites, in units of the cell vectors:
Cs 0.000 0.000 0.000
Mg 0.000 0.500 0.658
Mg 0.500 0.000 0.342
Hg 0.000 0.500 0.334
Hg 0.500 0.000 0.666
As 0.000 0.000 0.500
As 0.500 0.500 0.202
As 0.500 0.500 0.798


VASP calculation (GGA-PBE) on a relaxed structure of ThUCu.

Calculated values
Total DFT energy (no corrections) ... -6.8518 eV/atom
Polymorph energy (0 for the lowest one) ... 0 meV per atom

abc: 4.747 4.747 4.747
angles: 60.00 60.00 60.00
Sites, in units of the cell vectors:
Th 0.000 0.000 0.000
U 0.500 0.500 0.500
Cu 0.250 0.250 0.250


VASP calculation (GGA-PBE) on a relaxed structure of Ho3ZnNi8.

Calculated values
Total DFT energy (no corrections) ... -5.4012 eV/atom

abc: 8.617 8.617 8.617
angles: 33.44 33.44 33.44
Sites, in units of the cell vectors:
Ho 0.000 0.000 0.000
Ho 0.129 0.129 0.129
Ho 0.614 0.614 0.614
Zn 0.493 0.493 0.493
Ni 0.058 0.058 0.563
Ni 0.058 0.563 0.058
Ni 0.063 0.560 0.560
Ni 0.311 0.311 0.311
Ni 0.560 0.063 0.560
Ni 0.560 0.560 0.063
Ni 0.563 0.058 0.058
Ni 0.811 0.811 0.811


VASP calculation (GGA-PBE) on a relaxed structure of Pm3Co.

Calculated values
Total DFT energy (no corrections) ... -5.1375 eV/atom
Polymorph energy (0 for the lowest one) ... 0 meV per atom

abc: 7.595 7.595 4.344
angles: 90.00 90.00 120.00
Sites, in units of the cell vectors:
Pm 0.189 0.379 0.250
Pm 0.189 0.811 0.250
Pm 0.379 0.189 0.750
Pm 0.621 0.811 0.250
Pm 0.811 0.189 0.750
Pm 0.811 0.621 0.750
Co 0.333 0.667 0.750
Co 0.667 0.333 0.250


VASP calculation (GGA-PBE) on a relaxed structure of TbDy2Cd3AgAu2.

Calculated values
Total DFT energy (no corrections) ... -3.4577 eV/atom

abc: 3.836 7.875 7.875
angles: 120.01 90.00 90.00
Sites, in units of the cell vectors:
Tb 0.000 0.000 0.000
Dy 0.000 0.408 0.817
Dy 0.000 0.817 0.408
Cd 0.500 0.146 0.408
Cd 0.500 0.408 0.146
Cd 0.500 0.671 0.671
Ag 0.000 0.408 0.408
Au 0.500 0.075 0.742
Au 0.500 0.742 0.075